# Y2Sc2Tl2O

Crystalline Y2Sc2Tl2O at its relaxed geometry (PBE, the Alexandria database).

POSCAR file:
```
Y2Sc2Tl2O
1.0
-2.2226 2.2226 8.0251
2.2226 -2.2226 8.0251
2.2226 2.2226 -8.0251
Y Sc Tl O
2 2 2 1
Direct
0.1662 0.1662 0.0000
0.8338 0.8338 0.0000
0.0000 0.5000 0.5000
0.5000 0.0000 0.5000
0.3654 0.3654 0.0000
0.6346 0.6346 0.0000
0.0000 0.0000 0.0000
```

## Properties
ΔE_f (raw)   -8.088 eV per formula unit
SG   No. 139

# YScTl2O6

Crystalline YScTl2O6 at its relaxed geometry (PBE, the Alexandria database).

POSCAR file:
```
YScTl2O6
1.0
2.8557 1.6487 5.0469
-2.8557 1.6487 5.0469
0.0000 -3.2975 5.0469
Y Sc Tl O
1 1 2 6
Direct
0.0000 0.0000 0.0000
0.4960 0.4960 0.4960
0.2784 0.2784 0.2784
0.7813 0.7813 0.7813
0.1201 0.6934 0.3878
0.2165 0.6056 0.8659
0.3878 0.1201 0.6934
0.6056 0.8659 0.2165
0.6934 0.3878 0.1201
0.8659 0.2165 0.6056
```

## Properties
ΔE_f (raw)   -20.545 eV per formula unit
SG   No. 146

# YScTlO

Crystalline YScTlO at its relaxed geometry (PBE, the Alexandria database).

POSCAR file:
```
YScTlO
1.0
4.2049 0.0000 0.0000
0.0000 4.5596 0.0000
0.0000 0.0000 4.8057
Y Sc Tl O
1 1 1 1
Direct
0.0000 0.0000 0.0000
0.5000 0.0000 0.5000
0.5000 0.5000 0.0000
0.0000 0.0000 0.5000
```

## Properties
ΔE_f (raw)   -5.489 eV per formula unit
SG   No. 47

What is the ΔE_f (raw) in the second record?
-20.545 eV per formula unit

The lowest ΔE_f (raw) belongs to which entry?
YScTl2O6

Which value of ΔE_f (raw) does entry 1 give?
-8.088 eV per formula unit

Number 1 is which compound?
Y2Sc2Tl2O